(1)
A geometry-optimized TaHg4Ir structure. Source: the Alexandria database, functional PBE.

Lattice parameters (Å, degrees): 5.566 5.566 5.566 60.00 60.00 60.00
Element x y z (fractional)
Hg  0.375  0.375  0.375
Hg  0.375  0.875  0.375
Hg  0.375  0.375  0.875
Hg  0.875  0.375  0.375
Ta  0.000  0.000  0.000
Ir  0.750  0.750  0.750

## Properties
Formation energy from the elements   5.787 eV per formula unit
Crystal system   cubic

=====

(2)
A geometry-optimized MnRu2Br structure. Source: the Alexandria database, functional PBE.

Lattice parameters (Å, degrees): 8.467 8.467 8.467 19.88 19.88 19.88
Element x y z (fractional)
Mn  0.750  0.750  0.750
Ru  0.495  0.495  0.495
Ru  0.005  0.005  0.005
Br  0.250  0.250  0.250

## Properties
Uncorrected formation energy   588.1 meV per atom
E above lowest polymorph   175.6 meV per atom
Crystal system   trigonal

=====

(3)
A geometry-optimized TcW2Br structure. Source: the Alexandria database, functional PBE.

Lattice parameters (Å, degrees): 9.011 9.011 9.011 18.96 18.96 18.96
Element x y z (fractional)
W  0.250  0.250  0.250
W  0.003  0.003  0.003
Tc  0.744  0.744  0.744
Br  0.504  0.504  0.504

## Properties
Uncorrected formation energy   569.8 meV per atom
E above lowest polymorph   50.3 meV per atom
Crystal system   trigonal

=====

(4)
A geometry-optimized NdY2V structure. Source: the Alexandria database, functional PBE.

Lattice parameters (Å, degrees): 3.413 3.413 11.760 81.66 81.66 60.00
Element x y z (fractional)
Y  0.081  0.081  0.758
Y  0.919  0.919  0.242
V  0.000  0.000  0.000
Nd  0.500  0.500  0.500

## Properties
Formation energy from the elements   2.511 eV per formula unit
Crystal system   trigonal

=====

(5)
A geometry-optimized LiSmAu2 structure. Source: the Alexandria database, functional PBE.

Lattice parameters (Å, degrees): 3.670 4.838 4.838 90.00 90.00 90.00
Element x y z (fractional)
Au  0.000  0.000  0.500
Au  0.000  0.500  0.000
Li  0.500  0.000  0.000
Sm  0.500  0.500  0.500

## Properties
Formation energy from the elements   -2.473 eV per formula unit
E above lowest polymorph   88.3 meV per atom
Crystal system   tetragonal

=====

(6)
A geometry-optimized K2TlCl4 structure. Source: the Alexandria database, functional PBE.

Lattice parameters (Å, degrees): 5.474 5.474 9.016 72.33 72.33 90.00
Element x y z (fractional)
Tl  0.000  0.000  0.000
K  0.360  0.360  0.281
K  0.640  0.640  0.719
Cl  0.827  0.827  0.347
Cl  0.000  0.500  0.000
Cl  0.500  0.000  0.000
Cl  0.173  0.173  0.653

## Properties
Uncorrected formation energy   -1394.8 meV per atom
E above lowest polymorph   31.7 meV per atom
Crystal system   tetragonal

=====

(7)
A geometry-optimized RbBAu3 structure. Source: the Alexandria database, functional PBE.

Lattice parameters (Å, degrees): 6.115 6.115 6.115 90.00 90.00 90.00
Element x y z (fractional)
Au  0.500  0.000  0.000
Au  0.000  0.500  0.000
Au  0.000  0.000  0.500
Rb  0.000  0.000  0.000
B  0.500  0.500  0.500

## Properties
Formation energy from the elements   10.598 eV per formula unit
E above lowest polymorph   1961.5 meV per atom
Crystal system   cubic

=====

(8)
A geometry-optimized RbFeRu3 structure. Source: the Alexandria database, functional PBE.

Lattice parameters (Å, degrees): 4.589 4.589 4.589 90.00 90.00 90.00
Element x y z (fractional)
Fe  0.000  0.000  0.000
Ru  0.000  0.000  0.500
Ru  0.500  0.000  0.000
Ru  0.000  0.500  0.000
Rb  0.500  0.500  0.500

## Properties
Formation energy from the elements   7.767 eV per formula unit
E above lowest polymorph   0.0 meV per atom
Crystal system   cubic

=====

What did we get for volume? Answer: 20.32; 15.35; 16.87; 29.24; 21.47; 34.85; 45.74; 19.33 Å³/atom, in the order shown.